Na2CaW: optimized geometry, PBE.

## Properties
energy = -2.9681 eV/atom
calculated volume = 247.0 Å³ per cell
energy relative to the elements = 1430 meV per atom
relative energy among the computed polymorphs = 0.1644 eV/atom

abc: 8.8668 8.8668 7.0126
angles: 50.79 50.79 90.00
Positions (direct):
Na (0.6503, 0.1250, 0.2500)
Na (0.0997, 0.6250, 0.2500)
Na (0.3750, 0.3497, 0.7500)
Na (0.8750, 0.9003, 0.7500)
Ca (0.5000, 0.5000, 0.0000)
Ca (0.2500, 0.7500, 0.5000)
W (0.0000, 0.0000, 0.0000)
W (0.7500, 0.2500, 0.5000)

***

NaLaTm2Se4: optimized geometry, PBE.

## Properties
energy = -5.3988 eV/atom
calculated volume = 201.7 Å³ per cell
formation energy without anion corrections = -1.76 eV/atom

abc: 4.0895 7.1412 7.2929
angles: 108.72 90.00 90.00
Positions (direct):
Na (0.5000, 0.5000, 0.0000)
La (0.0000, 0.0000, 0.0000)
Tm (0.5000, 0.0000, 0.5000)
Tm (0.0000, 0.5000, 0.5000)
Se (0.5000, 0.2617, 0.2687)
Se (0.5000, 0.7383, 0.7313)
Se (0.0000, 0.2466, 0.7317)
Se (0.0000, 0.7534, 0.2683)

***

KTbCoBr6: optimized geometry, PBE.

## Properties
energy = -3.8320 eV/atom
calculated volume = 634.2 Å³ per cell
formation energy without anion corrections = -1.29 eV/atom

abc: 7.0408 7.0408 14.7721
angles: 90.00 90.00 120.00
Positions (direct):
K (0.0000, 0.0000, 0.0000)
K (0.0000, 0.0000, 0.5000)
Tb (0.6667, 0.3333, 0.2500)
Tb (0.3333, 0.6667, 0.7500)
Co (0.3333, 0.6667, 0.2500)
Co (0.6667, 0.3333, 0.7500)
Br (0.6196, 0.6419, 0.1449)
Br (0.0224, 0.3804, 0.1449)
Br (0.3804, 0.0224, 0.6449)
Br (0.9776, 0.6196, 0.8551)
Br (0.3581, 0.3804, 0.3551)
Br (0.0224, 0.6419, 0.3551)
Br (0.6419, 0.0224, 0.8551)
Br (0.6196, 0.9776, 0.3551)
Br (0.9776, 0.3581, 0.6449)
Br (0.3581, 0.9776, 0.1449)
Br (0.6419, 0.6196, 0.6449)
Br (0.3804, 0.3581, 0.8551)

***

Cs2SnSbO: optimized geometry, PBE.

## Properties
energy = -3.7786 eV/atom
calculated volume = 371.8 Å³ per cell
formation energy without anion corrections = -0.82 eV/atom

abc: 5.4777 7.9326 8.9532
angles: 107.10 90.00 90.00
Positions (direct):
Cs (0.7500, 0.8933, 0.6395)
Cs (0.7500, 0.7889, 0.0501)
Cs (0.2500, 0.1067, 0.3605)
Cs (0.2500, 0.2111, 0.9499)
Sn (0.2500, 0.5733, 0.6680)
Sn (0.7500, 0.4267, 0.3320)
Sb (0.2500, 0.5917, 0.3306)
Sb (0.7500, 0.4083, 0.6694)
O (0.2500, 0.8265, 0.8024)
O (0.7500, 0.1735, 0.1976)

***

UAlGaGe: optimized geometry, PBE.

## Properties
energy = -5.9245 eV/atom
calculated volume = 75.8 Å³ per cell
energy relative to the elements = -256 meV per atom

abc: 4.1133 4.1985 4.3907
angles: 90.00 90.00 90.00
Positions (direct):
U (0.5000, 0.5000, 0.0000)
Al (0.5000, 0.0000, 0.5000)
Ga (0.0000, 0.5000, 0.5000)
Ge (0.0000, 0.0000, 0.0000)

***

LiMn2Cu: optimized geometry, PBE.

## Properties
energy = -5.7389 eV/atom
calculated volume = 51.9 Å³ per cell
energy relative to the elements = 348 meV per atom

abc: 2.5345 2.5345 8.9723
angles: 90.00 90.00 115.81
Positions (direct):
Cu (0.5000, 0.5000, 0.2500)
Li (0.5000, 0.5000, 0.7500)
Mn (0.0000, 0.0000, 0.0096)
Mn (0.0000, 0.0000, 0.4904)

***

Ca2HgH6Ir: optimized geometry, PBE.

## Properties
energy = -3.8195 eV/atom
calculated volume = 140.2 Å³ per cell

abc: 7.3574 4.6906 4.6906
angles: 120.00 90.00 90.00
Positions (direct):
Ca (0.1984, 0.3333, 0.6667)
Ca (0.8016, 0.6667, 0.3333)
Hg (0.5000, 0.0000, 0.0000)
H (0.8702, 0.1701, 0.3402)
H (0.8702, 0.1701, 0.8299)
H (0.8702, 0.6598, 0.8299)
H (0.1298, 0.8299, 0.1701)
H (0.1298, 0.3402, 0.1701)
H (0.1298, 0.8299, 0.6598)
Ir (0.0000, 0.0000, 0.0000)

***

BiPb2Se3: optimized geometry, PBE.

## Properties
energy = -4.0479 eV/atom
calculated volume = 178.6 Å³ per cell
formation energy without anion corrections = -0.42 eV/atom

abc: 4.3603 6.2836 7.5571
angles: 114.57 106.77 90.00
Positions (direct):
Bi (0.0000, 0.5000, 0.0000)
Pb (0.6647, 0.1647, 0.3294)
Pb (0.3353, 0.8353, 0.6706)
Se (0.3417, 0.3417, 0.6834)
Se (0.0000, 0.0000, 0.0000)
Se (0.6583, 0.6583, 0.3166)

***

USnAs2: optimized geometry, PBE.

## Properties
energy = -6.5234 eV/atom
calculated volume = 84.6 Å³ per cell
energy relative to the elements = -376 meV per atom
relative energy among the computed polymorphs = 0.0000 eV/atom

abc: 3.8179 4.7071 4.7071
angles: 90.00 90.00 90.00
Positions (direct):
As (0.0000, 0.0000, 0.5000)
As (0.0000, 0.5000, 0.0000)
U (0.5000, 0.5000, 0.5000)
Sn (0.5000, 0.0000, 0.0000)

***

Tm4Se3S2: optimized geometry, PBE.

## Properties
energy = -5.8726 eV/atom
calculated volume = 229.5 Å³ per cell
formation energy without anion corrections = -1.81 eV/atom
relative energy among the computed polymorphs = 0.0208 eV/atom

abc: 3.9786 3.9785 16.7686
angles: 87.21 90.00 120.00
Positions (direct):
Tm (0.6534, 0.3067, 0.0972)
Tm (0.0404, 0.0809, 0.7068)
Tm (0.9596, 0.9191, 0.2932)
Tm (0.3466, 0.6933, 0.9028)
Se (0.3856, 0.7711, 0.6205)
Se (0.0000, 0.0000, 0.0000)
Se (0.6144, 0.2289, 0.3795)
S (0.3073, 0.6146, 0.1897)
S (0.6927, 0.3854, 0.8103)

***

Li2CuN: optimized geometry, PBE.

## Properties
energy = -3.6124 eV/atom
calculated volume = 81.8 Å³ per cell
formation energy without anion corrections = 0.45 eV/atom

abc: 3.3627 3.3627 7.6106
angles: 77.24 77.24 90.00
Positions (direct):
Li (0.1985, 0.1250, 0.2500)
Li (0.5515, 0.6250, 0.2500)
Li (0.3750, 0.8015, 0.7500)
Li (0.8750, 0.4485, 0.7500)
Cu (0.0000, 0.0000, 0.0000)
Cu (0.7500, 0.2500, 0.5000)
N (0.5000, 0.5000, 0.0000)
N (0.2500, 0.7500, 0.5000)

***

Cr3GaBr: optimized geometry, PBE.

## Properties
energy = -5.7592 eV/atom
calculated volume = 116.1 Å³ per cell
formation energy without anion corrections = 0.95 eV/atom
relative energy among the computed polymorphs = 0.0000 eV/atom

abc: 4.8779 4.8779 4.8779
angles: 90.00 90.00 90.00
Positions (direct):
Cr (0.0000, 0.5000, 0.0000)
Cr (0.0000, 0.0000, 0.5000)
Cr (0.5000, 0.0000, 0.0000)
Ga (0.0000, 0.0000, 0.0000)
Br (0.5000, 0.5000, 0.5000)